(1)
VASP calculation (GGA-PBE) on MnCrH2 after structural relaxation.

Results
Space group = Fm-3m, No. 225
Fermi-level density of states = 13.500 states/eV per cell
ΔE to the lowest computed polymorph = 0.684 eV/atom
Crystal system = cubic
Mass density = 6.48 Mg/m³

a = 4.8146 Å, b = 4.8146 Å, c = 4.8146 Å
α = 90.00°, β = 90.00°, γ = 90.00°
With the nearest neighbours (Å) after each atom.
Fractional positions:
Mn (0.0000, 0.0000, 0.0000)  8 H 2.08
Mn (0.0000, 0.5000, 0.5000)  8 H 2.08
Mn (0.5000, 0.0000, 0.5000)  8 H 2.08
Mn (0.5000, 0.5000, 0.0000)  8 H 2.08
Cr (0.0000, 0.0000, 0.5000)  8 H 2.08
Cr (0.0000, 0.5000, 0.0000)  8 H 2.08
Cr (0.5000, 0.0000, 0.0000)  8 H 2.08
Cr (0.5000, 0.5000, 0.5000)  8 H 2.08
H (0.2500, 0.2500, 0.2500)  4 Cr 2.08, 4 Mn 2.08
H (0.2500, 0.2500, 0.7500)  4 Cr 2.08, 4 Mn 2.08
H (0.2500, 0.7500, 0.2500)  4 Cr 2.08, 4 Mn 2.08
H (0.2500, 0.7500, 0.7500)  4 Cr 2.08, 4 Mn 2.08
H (0.7500, 0.2500, 0.2500)  4 Cr 2.08, 4 Mn 2.08
H (0.7500, 0.2500, 0.7500)  4 Cr 2.08, 4 Mn 2.08
H (0.7500, 0.7500, 0.2500)  4 Cr 2.08, 4 Mn 2.08
H (0.7500, 0.7500, 0.7500)  4 Cr 2.08, 4 Mn 2.08

(2)
VASP calculation (GGA-PBE) on MnCr2H4 after structural relaxation.

Results
Space group = I4/mmm, No. 139
Fermi-level density of states = 8.610 states/eV per cell
ΔE to the lowest computed polymorph = 0.073 eV/atom
Crystal system = tetragonal
Mass density = 5.59 Mg/m³

a = 4.1612 Å, b = 4.1612 Å, c = 5.5944 Å
α = 90.00°, β = 90.00°, γ = 90.00°
With the nearest neighbours (Å) after each atom.
Fractional positions:
Mn (0.0000, 0.0000, 0.0000)  4 H 1.64
Mn (0.5000, 0.5000, 0.5000)  4 H 1.64
Cr (0.0000, 0.5000, 0.2500)  8 H 2.04
Cr (0.0000, 0.5000, 0.7500)  8 H 2.04
Cr (0.5000, 0.0000, 0.2500)  8 H 2.04
Cr (0.5000, 0.0000, 0.7500)  8 H 2.04
H (0.2213, 0.2213, 0.5000)  1 Mn 1.64
H (0.2213, 0.7787, 0.5000)  1 Mn 1.64
H (0.2787, 0.2787, 0.0000)  1 Mn 1.64
H (0.2787, 0.7213, 0.0000)  1 Mn 1.64
H (0.7213, 0.2787, 0.0000)  1 Mn 1.64
H (0.7213, 0.7213, 0.0000)  1 Mn 1.64
H (0.7787, 0.2213, 0.5000)  1 Mn 1.64
H (0.7787, 0.7787, 0.5000)  1 Mn 1.64

(3)
VASP calculation (GGA-PBE) on Mn2Cr3H8 after structural relaxation.

Results
Space group = Cmmm, No. 65
Fermi-level density of states = 5.745 states/eV per cell
Crystal system = orthorhombic
E_tot = -5.5034 eV/atom
Mass density = 5.02 Mg/m³

a = 5.7997 Å, b = 5.7997 Å, c = 2.7681 Å
α = 90.00°, β = 90.00°, γ = 103.10°
With the nearest neighbours (Å) after each atom.
Fractional positions:
Mn (0.2205, 0.7795, 0.0000)  4 H 1.71-1.91
Mn (0.7795, 0.2205, 0.0000)  4 H 1.71-1.91
Cr (0.1933, 0.1933, 0.5000)  6 H 1.71-1.85
Cr (0.5000, 0.5000, 0.0000)  8 H 1.84-1.92
Cr (0.8067, 0.8067, 0.5000)  6 H 1.71-1.85
H (0.1098, 0.8902, 0.5000)  2 Mn 1.71, 2 Cr 1.71
H (0.1610, 0.3944, 0.0000)  3 Cr 1.85-1.92
H (0.3661, 0.6339, 0.5000)  2 Cr 1.84, 2 Mn 1.91
H (0.3944, 0.1610, 0.0000)  3 Cr 1.85-1.92
H (0.6056, 0.8390, 0.0000)  3 Cr 1.85-1.92
H (0.6339, 0.3661, 0.5000)  2 Cr 1.84, 2 Mn 1.91
H (0.8390, 0.6056, 0.0000)  3 Cr 1.85-1.92
H (0.8902, 0.1098, 0.5000)  2 Mn 1.71, 2 Cr 1.71

(4)
VASP calculation (GGA-PBE) on MnCrH2 after structural relaxation.

Results
Space group = Pbcm, No. 57
Fermi-level density of states = 9.043 states/eV per cell
ΔE to the lowest computed polymorph = 0.000 eV/atom
Crystal system = orthorhombic
Mass density = 7.01 Mg/m³

a = 5.3276 Å, b = 4.6018 Å, c = 4.2100 Å
α = 90.00°, β = 90.00°, γ = 90.00°
With the nearest neighbours (Å) after each atom.
Fractional positions:
Mn (0.1229, 0.0847, 0.2500)  6 H 1.84-1.87
Mn (0.1229, 0.4153, 0.7500)  6 H 1.84-1.87
Mn (0.8771, 0.5847, 0.2500)  6 H 1.84-1.87
Mn (0.8771, 0.9153, 0.7500)  6 H 1.84-1.87
Cr (0.3721, 0.5840, 0.2500)  6 H 1.86-1.87
Cr (0.3721, 0.9160, 0.7500)  6 H 1.86-1.87
Cr (0.6279, 0.0840, 0.2500)  6 H 1.86-1.87
Cr (0.6279, 0.4160, 0.7500)  6 H 1.86-1.87
H (0.1215, 0.7500, 0.0000)  4 Mn 1.84-1.87, 2 Cr 1.86
H (0.1215, 0.7500, 0.5000)  4 Mn 1.84-1.87, 2 Cr 1.86
H (0.3745, 0.2500, 0.0000)  4 Cr 1.86-1.87, 2 Mn 1.87
H (0.3745, 0.2500, 0.5000)  4 Cr 1.86-1.87, 2 Mn 1.87
H (0.6255, 0.7500, 0.0000)  4 Cr 1.86-1.87, 2 Mn 1.87
H (0.6255, 0.7500, 0.5000)  4 Cr 1.86-1.87, 2 Mn 1.87
H (0.8785, 0.2500, 0.0000)  4 Mn 1.84-1.87, 2 Cr 1.86
H (0.8785, 0.2500, 0.5000)  4 Mn 1.84-1.87, 2 Cr 1.86

(5)
VASP calculation (GGA-PBE) on Mn3CrH8 after structural relaxation.

Results
Space group = I4/mmm, No. 139
Fermi-level density of states = 5.543 states/eV per cell
Crystal system = tetragonal
E_tot = -5.3255 eV/atom
Mass density = 5.09 Mg/m³

a = 5.1957 Å, b = 5.1957 Å, c = 5.1957 Å
α = 133.14°, β = 133.14°, γ = 68.44°
With the nearest neighbours (Å) after each atom.
Fractional positions:
Mn (0.0000, 0.0000, 0.0000)  8 H 1.81
Mn (0.2500, 0.7500, 0.5000)  8 H 1.82
Mn (0.7500, 0.2500, 0.5000)  8 H 1.82
Cr (0.5000, 0.5000, 0.0000)  8 H 1.81
H (0.1255, 0.1255, 0.4998)  3 Mn 1.81-1.82, 1 Cr 1.81
H (0.1255, 0.6257, 0.0000)  3 Mn 1.81-1.82, 1 Cr 1.81
H (0.3743, 0.3743, 0.4998)  3 Mn 1.81-1.82, 1 Cr 1.81
H (0.3743, 0.8745, 0.0000)  3 Mn 1.81-1.82, 1 Cr 1.81
H (0.6257, 0.1255, 0.0000)  3 Mn 1.81-1.82, 1 Cr 1.81
H (0.6257, 0.6257, 0.5002)  3 Mn 1.81-1.82, 1 Cr 1.81
H (0.8745, 0.3743, 0.0000)  3 Mn 1.81-1.82, 1 Cr 1.81
H (0.8745, 0.8745, 0.5002)  3 Mn 1.81-1.82, 1 Cr 1.81

(6)
VASP calculation (GGA-PBE) on Mn3CrH after structural relaxation.

Results
Space group = P2_1/c, No. 14
Fermi-level density of states = 25.851 states/eV per cell
ΔE to the lowest computed polymorph = 0.000 eV/atom
Crystal system = monoclinic
Mass density = 7.88 Mg/m³

a = 6.6982 Å, b = 4.0983 Å, c = 8.8338 Å
α = 90.00°, β = 130.82°, γ = 90.00°
With the nearest neighbours (Å) after each atom.
Fractional positions:
Mn (0.1125, 0.2426, 0.0987)  1 H 1.83
Mn (0.1125, 0.2574, 0.5987)  1 H 1.83
Mn (0.1199, 0.7473, 0.7708)  1 H 1.83
Mn (0.1199, 0.7527, 0.2708)  1 H 1.83
Mn (0.3651, 0.7503, 0.1391)  2 H 1.80-1.83
Mn (0.3651, 0.7497, 0.6391)  2 H 1.80-1.83
Mn (0.6349, 0.2503, 0.3609)  2 H 1.80-1.83
Mn (0.6349, 0.2497, 0.8609)  2 H 1.80-1.83
Mn (0.8801, 0.2473, 0.7292)  1 H 1.83
Mn (0.8801, 0.2527, 0.2292)  1 H 1.83
Mn (0.8875, 0.7426, 0.4013)  1 H 1.83
Mn (0.8875, 0.7574, 0.9013)  1 H 1.83
Cr (0.3639, 0.2385, 0.4822)  2 H 1.86
Cr (0.3639, 0.2615, 0.9822)  2 H 1.86
Cr (0.6361, 0.7385, 0.0177)  2 H 1.86
Cr (0.6361, 0.7615, 0.5178)  2 H 1.86
H (0.3731, 0.0084, 0.8115)  4 Mn 1.80-1.83, 2 Cr 1.86
H (0.3731, 0.4916, 0.3115)  4 Mn 1.80-1.83, 2 Cr 1.86
H (0.6269, 0.5084, 0.6885)  4 Mn 1.80-1.83, 2 Cr 1.86
H (0.6269, 0.9916, 0.1885)  4 Mn 1.80-1.83, 2 Cr 1.86

(7)
VASP calculation (GGA-PBE) on Mn3CrH after structural relaxation.

Results
Space group = Pm-3m, No. 221
Fermi-level density of states = 4.706 states/eV per cell
ΔE to the lowest computed polymorph = 0.001 eV/atom
Crystal system = cubic
Mass density = 7.50 Mg/m³

a = 3.6405 Å, b = 3.6405 Å, c = 3.6405 Å
α = 90.00°, β = 90.00°, γ = 90.00°
With the nearest neighbours (Å) after each atom.
Fractional positions:
Mn (0.0000, 0.0000, 0.5000)  2 H 1.82
Mn (0.0000, 0.5000, 0.0000)  2 H 1.82
Mn (0.5000, 0.0000, 0.0000)  2 H 1.82
Cr (0.5000, 0.5000, 0.5000)  12 Mn 2.57
H (0.0000, 0.0000, 0.0000)  6 Mn 1.82

(8)
VASP calculation (GGA-PBE) on MnCr2H2 after structural relaxation.

Results
Space group = I4/mmm, No. 139
Fermi-level density of states = 7.517 states/eV per cell
ΔE to the lowest computed polymorph = 0.048 eV/atom
Crystal system = tetragonal
Mass density = 6.80 Mg/m³

a = 2.6736 Å, b = 2.6736 Å, c = 11.0008 Å
α = 90.00°, β = 90.00°, γ = 90.00°
With the nearest neighbours (Å) after each atom.
Fractional positions:
Mn (0.0000, 0.0000, 0.0000)  8 Cr 2.46, 4 Mn 2.67
Mn (0.5000, 0.5000, 0.5000)  8 Cr 2.46, 4 Mn 2.67
Cr (0.0000, 0.0000, 0.3566)  4 H 1.78
Cr (0.0000, 0.0000, 0.6434)  4 H 1.78
Cr (0.5000, 0.5000, 0.1434)  4 H 1.78
Cr (0.5000, 0.5000, 0.8566)  4 H 1.78
H (0.0000, 0.5000, 0.2500)  4 Cr 1.78, 4 H 1.89
H (0.0000, 0.5000, 0.7500)  4 Cr 1.78, 4 H 1.89
H (0.5000, 0.0000, 0.2500)  4 Cr 1.78, 4 H 1.89
H (0.5000, 0.0000, 0.7500)  4 Cr 1.78, 4 H 1.89

(9)
VASP calculation (GGA-PBE) on Mn6CrH3 after structural relaxation.

Results
Space group = R3, No. 146
Fermi-level density of states = 5.305 states/eV per cell
Crystal system = trigonal
E_tot = -7.2956 eV/atom
Mass density = 7.07 Mg/m³

a = 5.0810 Å, b = 5.0810 Å, c = 5.0810 Å
α = 58.84°, β = 58.84°, γ = 58.84°
With the nearest neighbours (Å) after each atom.
Fractional positions:
Mn (0.0181, 0.3267, 0.6551)  2 H 1.73-1.92
Mn (0.1747, 0.7318, 0.6199)  2 H 1.85-1.87
Mn (0.3267, 0.6551, 0.0181)  2 H 1.73-1.92
Mn (0.6199, 0.1747, 0.7318)  2 H 1.85-1.87
Mn (0.6551, 0.0181, 0.3267)  2 H 1.73-1.92
Mn (0.7318, 0.6199, 0.1747)  2 H 1.85-1.87
Cr (0.1736, 0.1736, 0.1736)  1 H 1.76
H (0.0333, 0.0333, 0.0333)  3 Mn 1.73, 1 Cr 1.76
H (0.4194, 0.4194, 0.4194)  6 Mn 1.85-1.92
H (0.7497, 0.7497, 0.7497)  6 Mn 1.87-2.02

(10)
VASP calculation (GGA-PBE) on MnCr2H2 after structural relaxation.

Results
Space group = P2_1/m, No. 11
Fermi-level density of states = 7.830 states/eV per cell
ΔE to the lowest computed polymorph = 0.000 eV/atom
Crystal system = monoclinic
Mass density = 7.02 Mg/m³

a = 4.5568 Å, b = 2.5992 Å, c = 6.4286 Å
α = 90.00°, β = 90.65°, γ = 90.00°
With the nearest neighbours (Å) after each atom.
Fractional positions:
Mn (0.0880, 0.2500, 0.3301)  5 H 1.84-1.87
Mn (0.9120, 0.7500, 0.6699)  5 H 1.84-1.87
Cr (0.2571, 0.7500, 0.0078)  3 H 1.87-1.88
Cr (0.4232, 0.2500, 0.6738)  4 H 1.86-1.90
Cr (0.5768, 0.7500, 0.3262)  4 H 1.86-1.90
Cr (0.7429, 0.2500, 0.9922)  3 H 1.87-1.88
H (0.0849, 0.2500, 0.8329)  2 Mn 1.84, 4 Cr 1.86-1.88
H (0.2443, 0.7500, 0.5012)  3 Mn 1.84-1.87, 3 Cr 1.89-1.90
H (0.7557, 0.2500, 0.4988)  3 Mn 1.84-1.87, 3 Cr 1.89-1.90
H (0.9151, 0.7500, 0.1671)  2 Mn 1.84, 4 Cr 1.86-1.88

Repeat the fifth record exactly.
VASP calculation (GGA-PBE) on Mn3CrH8 after structural relaxation.

Results
Space group = I4/mmm, No. 139
Fermi-level density of states = 5.543 states/eV per cell
Crystal system = tetragonal
E_tot = -5.3255 eV/atom
Mass density = 5.09 Mg/m³

a = 5.1957 Å, b = 5.1957 Å, c = 5.1957 Å
α = 133.14°, β = 133.14°, γ = 68.44°
With the nearest neighbours (Å) after each atom.
Fractional positions:
Mn (0.0000, 0.0000, 0.0000)  8 H 1.81
Mn (0.2500, 0.7500, 0.5000)  8 H 1.82
Mn (0.7500, 0.2500, 0.5000)  8 H 1.82
Cr (0.5000, 0.5000, 0.0000)  8 H 1.81
H (0.1255, 0.1255, 0.4998)  3 Mn 1.81-1.82, 1 Cr 1.81
H (0.1255, 0.6257, 0.0000)  3 Mn 1.81-1.82, 1 Cr 1.81
H (0.3743, 0.3743, 0.4998)  3 Mn 1.81-1.82, 1 Cr 1.81
H (0.3743, 0.8745, 0.0000)  3 Mn 1.81-1.82, 1 Cr 1.81
H (0.6257, 0.1255, 0.0000)  3 Mn 1.81-1.82, 1 Cr 1.81
H (0.6257, 0.6257, 0.5002)  3 Mn 1.81-1.82, 1 Cr 1.81
H (0.8745, 0.3743, 0.0000)  3 Mn 1.81-1.82, 1 Cr 1.81
H (0.8745, 0.8745, 0.5002)  3 Mn 1.81-1.82, 1 Cr 1.81